The following is a PBE calculation of a relaxed structure of Na4I2N, from the Alexandria database.

a = 4.8159 Å, b = 4.8159 Å, c = 16.3382 Å
α = 90.00°, β = 90.00°, γ = 90.00°
Closest atoms and distances in Å follow each position.
Space group I4/mmm (No. 139)
Asymmetric unit:
Na (0.0000, 0.0000, 0.1491) x4  1 N 2.44
Na (0.0000, 0.5000, 0.0000) x4  2 N 2.41
I (0.0000, 0.0000, 0.3479) x4  9 Na 3.25-3.46
N (0.0000, 0.0000, 0.0000) x2  6 Na 2.41-2.44

Computed properties:
Formation energy without anion corrections: -0.500 eV/atom
Volume: 27.07 Å³/atom
DOS(E_F): 0.658 states/eV per atom